A relaxed Li2AgPt crystal. Source: Alexandria via LeMat-Bulk, functional GGA-PBEsol.

a = 2.7688 Å, b = 2.7688 Å, c = 26.1187 Å
α = 90.00°, β = 90.00°, γ = 120.00°
Space group R-3m (No. 166, hexagonal axes)
One atom of each set of equivalent atoms:
1 Li 0.0000 0.0000 0.2454 [6 per cell]
2 Ag 0.0000 0.0000 0.0000 [3 per cell]
3 Pt 0.0000 0.0000 0.5000 [3 per cell]

Output
magnetization	0.00	μB per cell
formation energy from the elements	-350	meV/atom